Record 1
VASP calculation (GGA-PBE) on an optimized crystal structure of Nd2Mn2GaRh5.

a = 9.6978 Å, b = 9.6978 Å, c = 3.6953 Å
α = 90.00°, β = 90.00°, γ = 90.00°
With the nearest neighbours (Å) after each atom.
Space group P4/mbm (No. 127)
Inequivalent atoms, fractional coordinates:
Nd (0.1791, 0.3209, 0.0000) [4 per cell]  3 Mn 2.74-2.97
Mn (0.1214, 0.6214, 0.0000) [4 per cell]  6 Rh 2.49-2.58, 1 Nd 2.74
Ga (0.0000, 0.0000, 0.0000) [2 per cell]  8 Rh 2.76
Rh (0.0000, 0.5000, 0.5000) [2 per cell]  4 Mn 2.49
Rh (0.0613, 0.7971, 0.5000) [8 per cell]  2 Mn 2.58, 2 Ga 2.76

Calculated values
- formation enthalpy at 0 K (eV/atom) = -0.381
- Fermi-level density of states (states/eV/cell) = 13.6
- VASP energy (eV per atom) = -7.147



Record 2
VASP calculation (GGA-PBE) on an optimized crystal structure of K2IrBr.

a = 4.6952 Å, b = 4.6952 Å, c = 12.9500 Å
α = 90.00°, β = 90.00°, γ = 90.00°
With the nearest neighbours (Å) after each atom.
Space group I-4m2 (No. 119)
Inequivalent atoms, fractional coordinates:
K (0.0000, 0.0000, 0.0000) [2 per cell]  4 Ir 3.32
K (0.0000, 0.5000, 0.2500) [2 per cell]  4 Br 3.32
Ir (0.0000, 0.0000, 0.5000) [2 per cell]  4 K 3.32
Br (0.0000, 0.5000, 0.7500) [2 per cell]  4 K 3.32

Calculated values
- Fermi-level density of states (states/eV/cell) = 11.8
- formation energy (no corrections) (eV/atom) = 0.2918
- VASP energy (eV per atom) = -2.890



Record 3
VASP calculation (GGA-PBE) on an optimized crystal structure of Sr2GaOsN.

a = 5.4242 Å, b = 5.4242 Å, c = 3.8232 Å
α = 90.00°, β = 90.00°, γ = 90.00°
With the nearest neighbours (Å) after each atom.
Space group P4/mmm (No. 123)
Inequivalent atoms, fractional coordinates:
Sr (0.0000, 0.5000, 0.0000) [2 per cell]  2 N 2.71
Ga (0.0000, 0.0000, 0.5000) [1 per cell]  8 Sr 3.32
Os (0.5000, 0.5000, 0.5000) [1 per cell]  2 N 1.91
N (0.5000, 0.5000, 0.0000) [1 per cell]  2 Os 1.91

Calculated values
- Fermi-level density of states (states/eV/cell) = 2.6
- formation energy (no corrections) (eV/atom) = -0.3260
- VASP energy (eV per atom) = -5.515